Ho6Tm2Zr: optimized geometry, PBE-GGA.

Cell lengths 7.245, 7.245, 7.521 Å; angles 61.21, 61.21, 60.00 degrees
Element x y z (fractional)
Tm1 0.582 0.582 0.254
Tm2 0.757 0.757 0.729
Zr1 0.314 0.314 0.057
Ho1 0.050 0.614 0.285
Ho2 0.263 0.772 0.703
Ho3 0.050 0.050 0.285
Ho4 0.614 0.050 0.285
Ho5 0.772 0.263 0.703
Ho6 0.263 0.263 0.703

Output
- ρ: 8.29 g cm⁻³
- Space-group type: R3m
- DFT total energy: -4.630 eV/atom
- Energy above the most stable polymorph in this dataset: 298.6 meV/atom